Record 1
Computed, not measured: crystalline AcThMgZn at its relaxed geometry at the PBE level of DFT.

## Properties
energy of formation: -4 meV per atom
N(E_F): 1.117 states/eV/atom
space-group type: F-43m, No. 216
E_tot: -3.604 eV/atom
crystal system: cubic

Cell and atoms, written as POSCAR:
```
AcThMgZn
1.0
-0.2613 1.6190 -5.2175
-1.9470 -3.3932 -3.8219
-4.8547 0.9877 -2.3169
Zn Mg Ac Th
1 1 1 1
Direct
0.0000 0.0000 0.0000
0.5000 0.5000 0.5000
0.2500 0.2500 0.2500
0.7500 0.7500 0.7500
```

***

Record 2
Computed, not measured: crystalline TiZn2InPd2 at its relaxed geometry at the PBE level of DFT.

## Properties
energy of formation: -396 meV per atom
N(E_F): 0.766 states/eV/atom
space-group type: P-3m1, No. 164
E_tot: -4.324 eV/atom
crystal system: trigonal

Cell and atoms, written as POSCAR:
```
TiZn2InPd2
1.0
4.4347 0.0000 0.0000
-2.2173 3.8405 0.0000
0.0000 0.0000 5.7371
Pd In Zn Ti
2 1 2 1
Direct
0.3333 0.6667 0.2645
0.6667 0.3333 0.7355
0.0000 0.0000 0.5000
0.6667 0.3333 0.2038
0.3333 0.6667 0.7962
0.0000 0.0000 0.0000
```

***

Record 3
Computed, not measured: crystalline TbPm6Y2Mg at its relaxed geometry at the PBE level of DFT.

## Properties
energy of formation: 117 meV per atom
N(E_F): 1.410 states/eV/atom
space-group type: C2/c, No. 15
E_tot: -4.649 eV/atom
crystal system: monoclinic

Cell and atoms, written as POSCAR:
```
TbPm6Y2Mg
1.0
-7.3563 -4.9689 0.5028
3.4202 -5.4838 -6.6133
1.9784 -1.7842 8.8548
Mg Y Pm Tb
2 4 12 2
Direct
0.7500 0.5563 0.4437
0.2500 0.4437 0.5563
0.4493 0.7776 0.6843
0.9493 0.6843 0.7776
0.0507 0.3157 0.2224
0.5507 0.2224 0.3157
0.5894 0.4621 0.7347
0.0520 0.1158 0.7970
0.9480 0.8842 0.2030
0.0894 0.7347 0.4621
0.5520 0.7970 0.1158
0.1968 0.5368 0.9568
0.6968 0.9568 0.5368
0.8032 0.4632 0.0432
0.9106 0.2653 0.5379
0.4106 0.5379 0.2653
0.4480 0.2030 0.8842
0.3032 0.0432 0.4632
0.2500 0.9644 0.0356
0.7500 0.0356 0.9644
```

***

Record 4
Computed, not measured: crystalline ScGeAu2 at its relaxed geometry at the PBE level of DFT.

## Properties
energy of formation: -336 meV per atom
N(E_F): 0.412 states/eV/atom
space-group type: I-42d, No. 122
E_tot: -4.712 eV/atom
crystal system: tetragonal

Cell and atoms, written as POSCAR:
```
ScGeAu2
1.0
-0.4956 2.2251 -3.2893
-3.6635 1.0232 1.2441
1.7130 9.4564 3.7042
Sc Au Ge
2 4 2
Direct
0.5000 0.5000 0.0000
0.2500 0.7500 0.5000
0.3750 0.3705 0.7500
0.6295 0.1250 0.2500
0.8750 0.8795 0.7500
0.1205 0.6250 0.2500
0.0000 0.0000 0.0000
0.7500 0.2500 0.5000
```

***

- Which of these has the lowest E_tot?
  ScGeAu2

***

- Look up the E_tot of the third one.
  -4.649 eV/atom

***

- What is the formula in the fourth record?
  ScGeAu2